DFT (PBE) results for KUTl2O6 after structural relaxation.

CIF file:
```
data_KUTl2O6
_chemical_formula_sum 'K4 U4 Tl8 O24'
_cell_length_a 12.156
_cell_length_b 8.094
_cell_length_c 7.957
_cell_angle_alpha 90.00
_cell_angle_beta 118.65
_cell_angle_gamma 90.00
_symmetry_space_group_name_H-M 'C 1 2/c 1'
_symmetry_Int_Tables_number 15
loop_
_symmetry_equiv_pos_as_xyz
'x,y,z'
'-x,-y,-z'
'-x,y,-z+1/2'
'x,-y,z+1/2'
'x+1/2,y+1/2,z'
'-x+1/2,-y+1/2,-z'
'-x+1/2,y+1/2,-z+1/2'
'x+1/2,-y+1/2,z+1/2'
loop_
_atom_site_label
_atom_site_type_symbol
_atom_site_fract_x
_atom_site_fract_y
_atom_site_fract_z
K1 K 0.000 0.228 0.250
U1 U 0.000 0.261 0.750
Tl1 Tl 0.244 0.499 0.263
O1 O 0.089 0.086 0.942
O2 O 0.105 0.446 0.927
O3 O 0.163 0.247 0.662
```

Computed properties:
E_form (uncorrected)	-1.6921	eV per atom
size of the total moment	0.00	μB/f.u.
raw total energy	-6.3789	eV/atom